w) A relaxed AlTlZn2 crystal, computed with PBE.

a = 4.364 Å, b = 4.364 Å, c = 9.476 Å
α = 76.69°, β = 76.69°, γ = 90.00°
Element x y z (fractional)
Zn1 0.555 0.125 0.250
Al1 0.250 0.750 0.500
Zn2 0.875 0.805 0.750
Zn3 0.375 0.445 0.750
Al2 0.500 0.500 0.000
Zn4 0.195 0.625 0.250
Tl1 0.000 0.000 0.000
Tl2 0.750 0.250 0.500

## Properties
Density of states at the Fermi level: 0.377 states/eV per atom
SG: No. 122

---

x) A relaxed AlTlZn2 crystal, computed with PBE.

a = 5.208 Å, b = 5.208 Å, c = 3.034 Å
α = 90.00°, β = 90.00°, γ = 107.54°
Element x y z (fractional)
Al1 0.500 0.000 0.500
Tl1 0.000 0.500 0.500
Zn1 0.000 0.000 0.000
Zn2 0.500 0.500 0.000

## Properties
Density of states at the Fermi level: 0.433 states/eV per atom
SG: No. 65

---

y) A relaxed AlTlZn2 crystal, computed with PBE.

a = 4.868 Å, b = 4.868 Å, c = 4.868 Å
α = 60.00°, β = 60.00°, γ = 60.00°
Element x y z (fractional)
Zn1 0.750 0.750 0.750
Al1 0.500 0.500 0.500
Tl1 0.250 0.250 0.250
Zn2 0.000 0.000 0.000

## Properties
Density of states at the Fermi level: 0.536 states/eV per atom
SG: No. 216

---

z) A relaxed AlTlZn2 crystal, computed with PBE.

a = 4.130 Å, b = 3.279 Å, c = 6.336 Å
α = 73.84°, β = 90.00°, γ = 90.00°
Element x y z (fractional)
Zn1 0.000 0.180 0.024
Zn2 0.500 0.033 0.294
Al1 0.000 0.477 0.403
Tl1 0.500 0.810 0.778

## Properties
Density of states at the Fermi level: 0.622 states/eV per atom
SG: No. 6

---

Least stable = y)

---

w) A relaxed AlTlZn2 crystal, computed with PBE.

a = 2.954 Å, b = 4.025 Å, c = 6.744 Å
α = 90.00°, β = 90.00°, γ = 90.00°
Element x y z (fractional)
Al1 0.000 0.000 0.446
Zn1 0.000 0.000 0.050
Zn2 0.500 0.500 0.251
Tl1 0.500 0.500 0.754

## Properties
Density of states at the Fermi level: 0.383 states/eV per atom
SG: No. 25

---

x) A relaxed AlTlZn2 crystal, computed with PBE.

a = 5.188 Å, b = 5.188 Å, c = 5.188 Å
α = 130.56°, β = 130.56°, γ = 72.52°
Element x y z (fractional)
Zn1 0.000 0.000 0.000
Zn2 0.500 0.500 0.000
Al1 0.250 0.750 0.500
Tl1 0.750 0.250 0.500

## Properties
Density of states at the Fermi level: 0.335 states/eV per atom
SG: No. 139

---

y) A relaxed AlTlZn2 crystal, computed with PBE.

a = 4.867 Å, b = 4.867 Å, c = 4.867 Å
α = 60.00°, β = 60.00°, γ = 60.00°
Element x y z (fractional)
Tl1 0.500 0.500 0.500
Zn1 0.250 0.250 0.250
Al1 0.000 0.000 0.000
Zn2 0.750 0.750 0.750

## Properties
Density of states at the Fermi level: 0.383 states/eV per atom
SG: No. 225

---

z) A relaxed AlTlZn2 crystal, computed with PBE.

a = 2.965 Å, b = 3.945 Å, c = 6.907 Å
α = 90.00°, β = 90.00°, γ = 90.00°
Element x y z (fractional)
Tl1 0.500 0.500 0.750
Zn1 0.000 0.000 0.443
Al1 0.500 0.500 0.250
Zn2 0.000 0.000 0.057

## Properties
Density of states at the Fermi level: 0.365 states/eV per atom
SG: No. 47

---

Least stable = y)

---

w) A relaxed AlTlZn2 crystal, computed with PBE.

a = 4.415 Å, b = 4.415 Å, c = 4.086 Å
α = 90.00°, β = 90.00°, γ = 90.00°
Element x y z (fractional)
Zn1 0.500 0.500 0.000
Zn2 0.000 0.000 0.000
Tl1 0.000 0.500 0.500
Al1 0.500 0.000 0.500

## Properties
Density of states at the Fermi level: 0.331 states/eV per atom
SG: No. 123

---

x) A relaxed AlTlZn2 crystal, computed with PBE.

a = 9.246 Å, b = 9.246 Å, c = 9.246 Å
α = 19.75°, β = 19.75°, γ = 19.75°
Element x y z (fractional)
Zn1 0.991 0.991 0.991
Al1 0.250 0.250 0.250
Tl1 0.750 0.750 0.750
Zn2 0.509 0.509 0.509

## Properties
Density of states at the Fermi level: 0.144 states/eV per atom
SG: No. 166

---

y) A relaxed AlTlZn2 crystal, computed with PBE.

a = 5.919 Å, b = 5.919 Å, c = 5.919 Å
α = 150.31°, β = 127.18°, γ = 61.76°
Element x y z (fractional)
Zn1 0.753 0.253 0.500
Zn2 0.974 0.974 0.000
Tl1 0.247 0.747 0.500
Al1 0.526 0.526 0.000

## Properties
Density of states at the Fermi level: 0.345 states/eV per atom
SG: No. 44

---

z) A relaxed AlTlZn2 crystal, computed with PBE.

a = 5.564 Å, b = 5.564 Å, c = 5.564 Å
α = 144.07°, β = 124.46°, γ = 67.95°
Element x y z (fractional)
Zn1 0.521 0.521 0.000
Tl1 0.250 0.750 0.500
Al1 0.750 0.250 0.500
Zn2 0.979 0.979 0.000

## Properties
Density of states at the Fermi level: 0.444 states/eV per atom
SG: No. 71

---

Least stable = z)

---

w) A relaxed AlTlZn2 crystal, computed with PBE.

a = 4.525 Å, b = 4.525 Å, c = 5.921 Å
α = 79.08°, β = 79.08°, γ = 43.24°
Element x y z (fractional)
Zn1 0.748 0.748 0.754
Tl1 0.251 0.251 0.245
Al1 0.488 0.488 0.565
Zn2 0.012 0.012 0.935

## Properties
Density of states at the Fermi level: 0.293 states/eV per atom
SG: No. 8

---

x) A relaxed AlTlZn2 crystal, computed with PBE.

a = 5.295 Å, b = 5.295 Å, c = 5.295 Å
α = 132.79°, β = 132.79°, γ = 68.99°
Element x y z (fractional)
Zn1 0.000 0.000 0.000
Zn2 0.250 0.750 0.500
Tl1 0.750 0.250 0.500
Al1 0.500 0.500 0.000

## Properties
Density of states at the Fermi level: 0.302 states/eV per atom
SG: No. 119

---

Least stable = x)

---

w) A relaxed AlTlZn3 crystal, computed with PBE.

a = 5.199 Å, b = 5.199 Å, c = 5.199 Å
α = 90.00°, β = 90.00°, γ = 90.00°
Element x y z (fractional)
Zn1 0.500 0.000 0.000
Tl1 0.000 0.000 0.000
Zn2 0.000 0.500 0.000
Zn3 0.000 0.000 0.500
Al1 0.500 0.500 0.500

## Properties
Density of states at the Fermi level: 0.671 states/eV per atom
SG: No. 221

---

x) A relaxed AlTlZn3 crystal, computed with PBE.

a = 4.954 Å, b = 4.954 Å, c = 4.954 Å
α = 90.00°, β = 90.00°, γ = 90.00°
Element x y z (fractional)
Zn1 0.000 0.000 0.500
Zn2 0.000 0.500 0.000
Al1 0.000 0.000 0.000
Tl1 0.500 0.500 0.500
Zn3 0.500 0.000 0.000

## Properties
Density of states at the Fermi level: 0.587 states/eV per atom
SG: No. 221

---

Least stable = w)

---

w) A relaxed ZrAlTl2 crystal, computed with PBE.

a = 5.397 Å, b = 3.131 Å, c = 5.539 Å
α = 90.01°, β = 90.00°, γ = 90.00°
Element x y z (fractional)
Tl1 0.500 0.376 0.212
Zr1 0.000 0.374 0.555
Al1 0.500 0.874 0.686
Tl2 0.000 0.875 0.046

## Properties
Density of states at the Fermi level: 0.514 states/eV per atom
SG: No. 6

---

x) A relaxed ZrAlTl2 crystal, computed with PBE.

a = 5.110 Å, b = 5.110 Å, c = 5.110 Å
α = 60.00°, β = 60.00°, γ = 60.00°
Each line ends with the local moment (μB).
Element x y z (fractional)
Tl1 0.250 0.250 0.250  0.00
Tl2 0.750 0.750 0.750  0.00
Al1 0.000 0.000 0.000  0.00
Zr1 0.500 0.500 0.500  0.20

## Properties
Density of states at the Fermi level: 1.234 states/eV per atom
SG: No. 225

---

y) A relaxed ZrAlTl2 crystal, computed with PBE.

a = 3.174 Å, b = 3.174 Å, c = 9.701 Å
α = 90.00°, β = 90.00°, γ = 90.00°
Element x y z (fractional)
Tl1 0.500 0.500 0.278
Al1 0.500 0.500 0.717
Zr1 0.000 0.000 0.525
Tl2 0.000 0.000 0.980

## Properties
Density of states at the Fermi level: 0.561 states/eV per atom
SG: No. 99

---

z) A relaxed ZrAlTl2 crystal, computed with PBE.

a = 5.325 Å, b = 5.325 Å, c = 3.298 Å
α = 90.00°, β = 90.00°, γ = 90.00°
Element x y z (fractional)
Zr1 0.500 0.000 0.500
Tl1 0.500 0.500 0.000
Tl2 0.000 0.000 0.000
Al1 0.000 0.500 0.500

## Properties
Density of states at the Fermi level: 0.950 states/eV per atom
SG: No. 123

---

Least stable = x)

---

w) A relaxed ZrAlTl2 crystal, computed with PBE.

a = 5.519 Å, b = 5.519 Å, c = 3.255 Å
α = 90.00°, β = 90.00°, γ = 112.76°
Element x y z (fractional)
Zr1 0.500 0.000 0.500
Tl1 0.500 0.500 0.000
Al1 0.000 0.500 0.500
Tl2 0.000 0.000 0.000

## Properties
Density of states at the Fermi level: 0.380 states/eV per atom
SG: No. 65

---

x) A relaxed ZrAlTl2 crystal, computed with PBE.

a = 3.295 Å, b = 3.295 Å, c = 9.982 Å
α = 90.00°, β = 90.00°, γ = 117.50°
Element x y z (fractional)
Al1 0.500 0.500 0.750
Tl1 0.000 0.000 0.508
Tl2 0.000 0.000 0.992
Zr1 0.500 0.500 0.250

## Properties
Density of states at the Fermi level: 0.760 states/eV per atom
SG: No. 65

---

y) A relaxed ZrAlTl2 crystal, computed with PBE.

a = 6.014 Å, b = 6.014 Å, c = 5.469 Å
α = 63.42°, β = 63.42°, γ = 31.65°
Element x y z (fractional)
Tl1 0.244 0.244 0.183
Al1 0.758 0.758 0.648
Zr1 0.488 0.488 0.604
Tl2 0.009 0.009 0.065

## Properties
Density of states at the Fermi level: 0.433 states/eV per atom
SG: No. 8

---

z) A relaxed ZrAlTl2 crystal, computed with PBE.

a = 4.485 Å, b = 4.472 Å, c = 4.472 Å
α = 90.00°, β = 90.00°, γ = 90.00°
Element x y z (fractional)
Tl1 0.000 0.500 0.500
Tl2 0.000 0.000 0.000
Al1 0.500 0.000 0.500
Zr1 0.500 0.500 0.000

## Properties
Density of states at the Fermi level: 0.587 states/eV per atom
SG: No. 123

---

Least stable = x)

---

w) A relaxed ZrAlTl2 crystal, computed with PBE.

a = 5.153 Å, b = 5.153 Å, c = 5.153 Å
α = 60.00°, β = 60.00°, γ = 60.00°
Element x y z (fractional)
Al1 0.500 0.500 0.500
Tl1 0.000 0.000 0.000
Tl2 0.750 0.750 0.750
Zr1 0.250 0.250 0.250

## Properties
Density of states at the Fermi level: 0.675 states/eV per atom
SG: No. 216

---

x) A relaxed ZrAlTl2 crystal, computed with PBE.

a = 7.944 Å, b = 7.944 Å, c = 6.383 Å
α = 51.52°, β = 51.52°, γ = 90.00°
Element x y z (fractional)
Tl1 0.875 0.850 0.750
Zr1 0.750 0.250 0.500
Al1 0.500 0.500 0.000
Tl2 0.600 0.125 0.250
Zr2 0.000 0.000 0.000
Tl3 0.375 0.400 0.750
Al2 0.250 0.750 0.500
Tl4 0.150 0.625 0.250

## Properties
Density of states at the Fermi level: 0.802 states/eV per atom
SG: No. 122

---

Least stable = w)

---

w) A relaxed ZrAlTl crystal, computed with PBE.

a = 4.095 Å, b = 4.080 Å, c = 9.288 Å
α = 63.54°, β = 102.67°, γ = 89.98°
Element x y z (fractional)
Al1 0.980 0.350 0.121
Al2 0.075 0.656 0.312
Zr1 0.445 0.918 0.052
Tl1 0.229 0.292 0.647
Tl2 0.798 0.652 0.786
Zr2 0.610 0.084 0.382

## Properties
Density of states at the Fermi level: 0.746 states/eV per atom
SG: No. 1

---

x) A relaxed ZrAlTl crystal, computed with PBE.

a = 4.779 Å, b = 4.779 Å, c = 3.185 Å
α = 90.00°, β = 90.00°, γ = 120.00°
Element x y z (fractional)
Zr1 0.333 0.667 0.667
Al1 0.000 0.000 0.169
Tl1 0.667 0.333 0.165

## Properties
Density of states at the Fermi level: 1.007 states/eV per atom
SG: No. 156

---

Least stable = x)

---

w) A relaxed ZrAlTl crystal, computed with PBE.

a = 4.624 Å, b = 4.624 Å, c = 4.624 Å
α = 60.00°, β = 60.00°, γ = 60.00°
Element x y z (fractional)
Tl1 0.000 0.000 0.000
Al1 0.250 0.250 0.250
Zr1 0.500 0.500 0.500

## Properties
Density of states at the Fermi level: 0.778 states/eV per atom
SG: No. 216

---

x) A relaxed ZrAlTl crystal, computed with PBE.

a = 6.337 Å, b = 6.337 Å, c = 6.337 Å
α = 149.73°, β = 149.73°, γ = 43.34°
Element x y z (fractional)
Al1 0.006 0.006 0.000
Tl1 0.341 0.341 0.000
Zr1 0.653 0.653 0.000

## Properties
Density of states at the Fermi level: 0.322 states/eV per atom
SG: No. 107

---

Least stable = w)